Ba2WO6 | PBE with a Hubbard U | optimized geometry

Cell: 5.9351 5.9351 9.6841 Å, 90.00 90.00 120.00°
Closest atoms and distances in Å follow each position.
Space group P6_3mc (No. 186)
Inequivalent atoms, fractional coordinates:
Ba  0.0000  0.0000  0.0000 x2  12 O 2.90-3.08
Ba  0.3333  0.6667  0.2771 x2  12 O 2.82-3.13
W  0.3333  0.6667  0.6780 x2  6 O 1.86-2.05
O  0.0530  0.5265  0.5271 x6  1 W 2.05
O  0.1706  0.3411  0.7620 x6  1 W 1.86

Results
calculated volume = 295.42 Å³/cell
raw total energy = -6.62 eV per atom
calculated density = 6.2 g/cm³